No. 1
K2MnP | PBE | relaxed

```
K2MnP
1.0
-0.7479 4.0049 -3.2521
0.5792 -3.1944 -4.0786
-3.5380 -1.0740 3.6748
K Mn P
2 1 1
Cartesian
0.0000 0.0000 0.0000
-1.5216 -1.9316 -2.0346
-0.0844 0.4053 -3.6653
-2.1851 1.6681 -1.6213
```

Computed properties:
N(E_F) = 4.7 states/eV/f.u.
crystal system = cubic
formation energy from the elements = 0.470 eV per atom

No. 2
K2MnP | PBE | relaxed

```
K2MnP
1.0
-5.2012 -3.4117 -4.3250
-0.9428 0.3266 4.5342
-4.8154 1.1704 -1.0872
K Mn P
2 1 1
Cartesian
0.0000 0.0000 0.0000
-5.0083 -1.1207 -2.7061
-2.8791 0.7485 1.7235
-3.0720 -1.5426 0.1046
```

Computed properties:
N(E_F) = 1.6 states/eV/f.u.
crystal system = orthorhombic
formation energy from the elements = 0.460 eV per atom

| no. | total magnetic moment (μB per atom) |
| --- | --- |
| 1 | 1.107 |
| 2 | 1.076 |